DFT (PBE) results for a relaxed Li12AcGa6 crystal.

a = 7.2734 Å, b = 7.2734 Å, c = 7.2734 Å
α = 102.88°, β = 102.88°, γ = 102.88°
Positions (direct):
Ga1 0.6985 0.2840 0.2840
Ga2 0.7160 0.3015 0.7160
Li1 0.1097 0.8903 0.5000
Li2 0.8760 0.5944 0.5944
Ac1 0.0000 0.0000 0.0000
Li3 0.1097 0.5000 0.8903
Li4 0.5944 0.5944 0.8760
Li5 0.8903 0.1097 0.5000
Ga3 0.2840 0.2840 0.6985
Li6 0.4056 0.4056 0.1240
Ga4 0.3015 0.7160 0.7160
Ga5 0.7160 0.7160 0.3015
Li7 0.8903 0.5000 0.1097
Li8 0.1240 0.4056 0.4056
Li9 0.4056 0.1240 0.4056
Li10 0.5000 0.8903 0.1097
Ga6 0.2840 0.6985 0.2840
Li11 0.5944 0.8760 0.5944
Li12 0.5000 0.1097 0.8903

crystal system = trigonal
density of states at the Fermi level = 9.169 states/eV/cell
space group = No. 166
magnetic moment = 0.000 μB/f.u.
energy relative to the elements = -154 meV per atom